1.
# Sr2LiRh, optimized geometry, DFT PBE
data_Sr2LiRh
_cell_length_a 3.6671
_cell_length_b 3.6671
_cell_length_c 8.4759
_cell_angle_alpha 90.00
_cell_angle_beta 90.00
_cell_angle_gamma 90.00
_symmetry_space_group_name_H-M 'P 4 m m'
_symmetry_Int_Tables_number 99
loop_
_symmetry_equiv_pos_as_xyz
'x,y,z'
'-y,x,z'
'-x,-y,z'
'y,-x,z'
'-x,y,z'
'y,x,z'
'x,-y,z'
'-y,-x,z'
loop_
_atom_site_label
_atom_site_fract_x
_atom_site_fract_y
_atom_site_fract_z
Sr1 0.0000 0.0000 0.0000
Sr2 0.5000 0.5000 0.4193
Li1 0.0000 0.0000 0.6674
Rh1 0.5000 0.5000 0.7733
# DOS at the Fermi energy   1.66 states/eV per cell
# Crystal system   tetragonal
# Energy of formation from the pure elements   -4 kJ/mol of formula units

=====

2.
# SnAsWBr2, optimized geometry, DFT PBE
data_SnAsWBr2
_cell_length_a 5.2215
_cell_length_b 5.2215
_cell_length_c 4.9549
_cell_angle_alpha 90.00
_cell_angle_beta 90.00
_cell_angle_gamma 90.00
_symmetry_space_group_name_H-M 'P 4/m m m'
_symmetry_Int_Tables_number 123
_symmetry_space_group_name_Hall '-P 4 2'
loop_
_atom_site_label
_atom_site_fract_x
_atom_site_fract_y
_atom_site_fract_z
Sn1 0.0000 0.0000 0.0000
As1 0.5000 0.5000 0.0000
W1 0.5000 0.5000 0.5000
Br1 0.0000 0.5000 0.5000
# Uncorrected energy   -22.46 eV for the cell shown
# DOS at the Fermi energy   5.01 states/eV per cell
# Crystal system   tetragonal

=====

3.
# Pm2Nd3Mg, optimized geometry, DFT PBE
data_Pm2Nd3Mg
_cell_length_a 5.7350
_cell_length_b 18.0595
_cell_length_c 3.8686
_cell_angle_alpha 90.00
_cell_angle_beta 90.00
_cell_angle_gamma 90.00
_symmetry_space_group_name_H-M 'C m m m'
_symmetry_Int_Tables_number 65
_symmetry_space_group_name_Hall '-C 2 2'
loop_
_atom_site_label
_atom_site_fract_x
_atom_site_fract_y
_atom_site_fract_z
Pm1 0.0000 0.1805 0.0000
Nd1 0.0000 0.0000 0.5000
Nd2 0.0000 0.3540 0.5000
Mg1 0.0000 0.5000 0.0000
# DOS at the Fermi energy   15.60 states/eV per cell
# Crystal system   orthorhombic
# Energy of formation from the pure elements   2 kJ/mol of formula units

=====

4.
# BaUNO2, optimized geometry, DFT PBE
data_BaUNO2
_cell_length_a 4.4452
_cell_length_b 4.4452
_cell_length_c 4.3085
_cell_angle_alpha 90.00
_cell_angle_beta 90.00
_cell_angle_gamma 90.00
_symmetry_space_group_name_H-M 'P 4/m m m'
_symmetry_Int_Tables_number 123
_symmetry_space_group_name_Hall '-P 4 2'
loop_
_atom_site_label
_atom_site_fract_x
_atom_site_fract_y
_atom_site_fract_z
Ba1 0.0000 0.0000 0.0000
U1 0.5000 0.5000 0.5000
N1 0.5000 0.5000 0.0000
O1 0.0000 0.5000 0.5000
# Uncorrected energy   -44.00 eV for the cell shown
# DOS at the Fermi energy   1.63 states/eV per cell
# Crystal system   tetragonal

=====

The highest DOS at the Fermi energy belongs to which entry? Pm2Nd3Mg

=====

Which of these has the highest DOS at the Fermi energy? Pm2Nd3Mg